(1)
Material: Li3ScTc
Method: DFT, SCAN
State: single point on PBEsol structure

Cell and atoms, written as CIF:
```
data_Li3ScTc
_chemical_formula_sum 'Li3 Sc1 Tc1'
_space_group_name_H-M_alt 'P m -3 m'
_space_group_IT_number 221
_space_group_name_Hall '-P 4 2 3'
_cell_length_a 4.340
_cell_length_b 4.340
_cell_length_c 4.340
_cell_angle_alpha 90.00
_cell_angle_beta 90.00
_cell_angle_gamma 90.00
loop_
_atom_site_label
_atom_site_fract_x
_atom_site_fract_y
_atom_site_fract_z
_atom_site_occupancy
Li1 0.000 0.000 0.500 1
Sc1 0.000 0.000 0.000 1
Tc1 0.500 0.500 0.500 1
```

- Total magnetic moment: 0.2099 μB per atom
- Formation energy: 144.9 kJ per mole of atoms
- Electronic total energy: -9.7914 eV per atom

(2)
Material: LiSc2Tc
Method: DFT, SCAN
State: single point on PBEsol structure

Cell and atoms, written as CIF:
```
data_LiSc2Tc
_chemical_formula_sum 'Li4 Sc8 Tc4'
_space_group_name_H-M_alt 'F -4 3 m'
_space_group_IT_number 216
_space_group_name_Hall 'F -4 2 3'
_cell_length_a 6.473
_cell_length_b 6.473
_cell_length_c 6.473
_cell_angle_alpha 90.00
_cell_angle_beta 90.00
_cell_angle_gamma 90.00
loop_
_atom_site_label
_atom_site_fract_x
_atom_site_fract_y
_atom_site_fract_z
_atom_site_occupancy
Li1 0.000 0.000 0.000 1
Sc1 0.000 0.000 0.500 1
Sc2 0.250 0.250 0.250 1
Tc1 0.250 0.250 0.750 1
```

- Relative energy among the computed polymorphs: 155 kJ/mol of formula units
- Total magnetic moment: 0.0000 μB per atom
- Formation energy: 22.3 kJ per mole of atoms
- Electronic total energy: -16.2500 eV per atom

(3)
Material: LiSc2Tc
Method: DFT, SCAN
State: single point on PBEsol structure

Cell and atoms, written as CIF:
```
data_LiSc2Tc
_chemical_formula_sum 'Li4 Sc8 Tc4'
_space_group_name_H-M_alt 'F m -3 m'
_space_group_IT_number 225
_space_group_name_Hall '-F 4 2 3'
_cell_length_a 6.499
_cell_length_b 6.499
_cell_length_c 6.499
_cell_angle_alpha 90.00
_cell_angle_beta 90.00
_cell_angle_gamma 90.00
loop_
_atom_site_label
_atom_site_fract_x
_atom_site_fract_y
_atom_site_fract_z
_atom_site_occupancy
Li1 0.000 0.000 0.000 1
Sc1 0.250 0.250 0.250 1
Tc1 0.000 0.000 0.500 1
```

- Relative energy among the computed polymorphs: 12 kJ/mol of formula units
- Total magnetic moment: 0.0000 μB per atom
- Formation energy: -13.4 kJ per mole of atoms
- Electronic total energy: -16.6201 eV per atom

(4)
Material: LiSc4Te
Method: DFT, SCAN
State: single point on PBEsol structure

Cell and atoms, written as CIF:
```
data_LiSc4Te
_chemical_formula_sum 'Li4 Sc16 Te4'
_space_group_name_H-M_alt 'F -4 3 m'
_space_group_IT_number 216
_space_group_name_Hall 'F -4 2 3'
_cell_length_a 8.325
_cell_length_b 8.325
_cell_length_c 8.325
_cell_angle_alpha 90.00
_cell_angle_beta 90.00
_cell_angle_gamma 90.00
loop_
_atom_site_label
_atom_site_fract_x
_atom_site_fract_y
_atom_site_fract_z
_atom_site_occupancy
Li1 0.000 0.000 0.000 1
Sc1 0.125 0.125 0.625 1
Te1 0.250 0.250 0.250 1
```

- Total magnetic moment: 0.1917 μB per atom
- Formation energy without anion corrections: 0.2054 eV per atom
- Electronic total energy: -15.8928 eV per atom

(5)
Material: LiScTe2
Method: DFT, SCAN
State: single point on PBEsol structure

Cell and atoms, written as CIF:
```
data_LiScTe2
_chemical_formula_sum 'Li2 Sc2 Te4'
_space_group_name_H-M_alt 'A m m 2'
_space_group_IT_number 38
_space_group_name_Hall 'A 2 -2'
_cell_length_a 4.012
_cell_length_b 3.747
_cell_length_c 13.725
_cell_angle_alpha 90.00
_cell_angle_beta 90.00
_cell_angle_gamma 90.00
loop_
_atom_site_label
_atom_site_fract_x
_atom_site_fract_y
_atom_site_fract_z
_atom_site_occupancy
Li1 0.000 0.000 0.000 1
Sc1 0.500 0.000 0.216 1
Te1 0.000 0.000 0.799 1
Te2 0.500 0.000 0.557 1
```

- Total magnetic moment: 0.0000 μB per atom
- Formation energy without anion corrections: -1.1606 eV per atom
- Electronic total energy: -23.9429 eV per atom

(6)
Material: LiScTe2
Method: DFT, SCAN
State: single point on PBEsol structure

Cell and atoms, written as CIF:
```
data_LiScTe2
_chemical_formula_sum 'Li2 Sc2 Te4'
_space_group_name_H-M_alt 'I m m m'
_space_group_IT_number 71
_space_group_name_Hall '-I 2 2'
_cell_length_a 4.584
_cell_length_b 5.617
_cell_length_c 7.330
_cell_angle_alpha 90.00
_cell_angle_beta 90.00
_cell_angle_gamma 90.00
loop_
_atom_site_label
_atom_site_fract_x
_atom_site_fract_y
_atom_site_fract_z
_atom_site_occupancy
Li1 0.000 0.000 0.000 1
Sc1 0.000 0.000 0.500 1
Te1 0.000 0.500 0.263 1
```

- Total magnetic moment: 0.0000 μB per atom
- Formation energy without anion corrections: -0.8907 eV per atom
- Electronic total energy: -23.6730 eV per atom